A plane-wave DFT calculation with PBE was carried out for a relaxed Zn5Pd4Pt crystal.

Cell lengths 2.915, 2.915, 17.030 Å; angles 90.00, 90.00, 90.00 degrees
Fractional coordinates of all 10 atoms:
1 Zn 0.500 0.500 0.300
2 Zn 0.500 0.500 0.899
3 Zn 0.500 0.500 0.500
4 Zn 0.500 0.500 0.101
5 Zn 0.500 0.500 0.700
6 Pd 0.000 0.000 0.400
7 Pd 0.000 0.000 0.201
8 Pd 0.000 0.000 0.600
9 Pd 0.000 0.000 0.799
10 Pt 0.000 0.000 0.000

## Properties
Uncorrected energy (eV/atom): -3.87
SG: No. 123
N(E_F) (states/eV/f.u.): 3.573

***

A plane-wave DFT calculation with PBE was carried out for a relaxed ZnPd3Pt6 crystal.

Cell lengths 2.742, 11.241, 11.241 Å; angles 111.76, 90.00, 90.00 degrees
Fractional coordinates of all 20 atoms:
1 Pt 0.250 0.403 0.271
2 Pt 0.250 0.688 0.973
3 Pt 0.750 0.312 0.027
4 Pt 0.250 0.213 0.787
5 Pt 0.750 0.787 0.213
6 Pt 0.750 0.597 0.729
7 Pt 0.750 0.746 0.593
8 Pt 0.750 0.123 0.544
9 Pt 0.750 0.920 0.054
10 Pt 0.250 0.254 0.407
11 Pt 0.250 0.080 0.946
12 Pt 0.250 0.877 0.456
13 Zn 0.250 0.008 0.293
14 Zn 0.750 0.992 0.707
15 Pd 0.250 0.831 0.817
16 Pd 0.750 0.630 0.351
17 Pd 0.750 0.456 0.881
18 Pd 0.250 0.370 0.649
19 Pd 0.750 0.169 0.183
20 Pd 0.250 0.544 0.119

## Properties
Uncorrected energy (eV/atom): -5.35
SG: No. 11
N(E_F) (states/eV/f.u.): 14.908

***

A plane-wave DFT calculation with PBE was carried out for a relaxed ZnPdPt6 crystal.

Cell lengths 3.940, 3.940, 7.921 Å; angles 90.00, 90.00, 90.00 degrees
Fractional coordinates of all 8 atoms:
1 Pt 0.000 0.500 0.745
2 Pt 0.500 0.500 0.500
3 Pt 0.000 0.500 0.255
4 Pt 0.500 0.000 0.745
5 Pt 0.500 0.500 0.000
6 Pt 0.500 0.000 0.255
7 Pd 0.000 0.000 0.000
8 Zn 0.000 0.000 0.500

## Properties
Uncorrected energy (eV/atom): -5.53
SG: No. 123
N(E_F) (states/eV/f.u.): 9.545

***

A plane-wave DFT calculation with PBE was carried out for a relaxed Zn9Pd2Pt crystal.

Cell lengths 7.348, 4.721, 9.307 Å; angles 121.26, 48.94, 90.12 degrees
Fractional coordinates of all 12 atoms:
1 Zn 0.500 0.500 0.500
2 Zn 0.500 0.242 0.164
3 Zn 0.252 0.834 0.251
4 Zn 0.999 0.603 0.669
5 Zn 0.500 0.758 0.836
6 Zn 0.001 0.397 0.331
7 Zn 0.744 0.628 0.096
8 Zn 0.748 0.166 0.749
9 Zn 0.256 0.372 0.904
10 Pd 0.231 0.031 0.588
11 Pd 0.769 0.969 0.412
12 Pt 0.000 0.000 0.000

## Properties
Uncorrected energy (eV/atom): -2.63
SG: No. 2
N(E_F) (states/eV/f.u.): 2.421